Density functional theory data (PBE) for crystalline Ti2FePt5Rh at its relaxed geometry.

## Properties
crystal system: tetragonal
energy of formation: -68 kJ/mol of formula units
symmetry: I4/mcm

Geometry as POSCAR:
```
Ti2FePt5Rh
1.0
-3.7128 3.7128 5.3892
3.7128 -3.7128 5.3892
3.7128 3.7128 -5.3892
Ti Fe Pt Rh
4 2 10 2
Direct
0.1111 0.6111 0.7223
0.3889 0.1111 0.5000
0.6111 0.8889 0.5000
0.8889 0.3889 0.2777
0.2500 0.2500 0.0000
0.7500 0.7500 0.0000
0.0000 0.0000 0.0000
0.0777 0.1601 0.5000
0.1601 0.6601 0.0824
0.3399 0.4223 0.5000
0.4223 0.9223 0.0824
0.5000 0.5000 0.0000
0.5777 0.0777 0.9176
0.6601 0.5777 0.5000
0.8399 0.3399 0.9176
0.9223 0.8399 0.5000
0.2500 0.7500 0.5000
0.7500 0.2500 0.5000
```